Record 1
# PBE-GGA Y2AlCoHg, relaxed
data_Y2AlCoHg
_chemical_formula_sum 'Y2 Al1 Co1 Hg1'
_cell_length_a 5.151
_cell_length_b 5.151
_cell_length_c 4.561
_cell_angle_alpha 90.00
_cell_angle_beta 90.00
_cell_angle_gamma 90.00
_space_group_name_H-M_alt 'P 4/m m m'
_space_group_IT_number 123
_space_group_name_Hall '-P 4 2'
loop_
_atom_site_label
_atom_site_fract_x
_atom_site_fract_y
_atom_site_fract_z
Y1 0.000 0.500 0.000
Al1 0.000 0.000 0.500
Co1 0.000 0.000 0.000
Hg1 0.500 0.500 0.500
# **ρ**: 6.37 g cm⁻³
# **Formation energy**: -124 kJ/mol of formula units

***

Record 2
# PBE-GGA Ho5AlCo2, relaxed
data_Ho5AlCo2
_chemical_formula_sum 'Ho20 Al4 Co8'
_cell_length_a 7.537
_cell_length_b 7.537
_cell_length_c 13.134
_cell_angle_alpha 90.00
_cell_angle_beta 90.00
_cell_angle_gamma 90.00
_space_group_name_H-M_alt 'I 4/m c m'
_space_group_IT_number 140
_space_group_name_Hall '-I 4 2c'
loop_
_atom_site_label
_atom_site_fract_x
_atom_site_fract_y
_atom_site_fract_z
Ho1 0.000 0.000 0.000
Ho2 0.163 0.337 0.135
Al1 0.000 0.000 0.250
Co1 0.131 0.369 0.500
# **ρ**: 8.63 g cm⁻³
# **Formation energy**: -180 kJ/mol of formula units

***

Record 3
# PBE-GGA HoAl2Co, relaxed
data_HoAl2Co
_chemical_formula_sum 'Ho3 Al6 Co3'
_cell_length_a 3.1744
_cell_length_b 3.1744
_cell_length_c 25.2886
_cell_angle_alpha 90.00
_cell_angle_beta 90.00
_cell_angle_gamma 120.00
_space_group_name_H-M_alt 'R -3 m'
_space_group_IT_number 166
_space_group_name_Hall '-R 3 2"'
loop_
_atom_site_label
_atom_site_fract_x
_atom_site_fract_y
_atom_site_fract_z
Ho1 0.0000 0.0000 0.0000
Al1 0.0000 0.0000 0.2307
Co1 0.0000 0.0000 0.5000
# **ρ**: 6.27 g cm⁻³
# **Formation energy**: 0 kJ/mol of formula units

***

Record 4
# PBE-GGA Ho2AlCo, relaxed
data_Ho2AlCo
_chemical_formula_sum 'Ho4 Al2 Co2'
_cell_length_a 4.201
_cell_length_b 7.712
_cell_length_c 5.464
_cell_angle_alpha 90.00
_cell_angle_beta 90.00
_cell_angle_gamma 90.00
_space_group_name_H-M_alt 'I m m 2'
_space_group_IT_number 44
loop_
_space_group_symop_operation_xyz
'x,y,z'
'-x,-y,z'
'-x,y,z'
'x,-y,z'
'x+1/2,y+1/2,z+1/2'
'-x+1/2,-y+1/2,z+1/2'
'-x+1/2,y+1/2,z+1/2'
'x+1/2,-y+1/2,z+1/2'
loop_
_atom_site_label
_atom_site_fract_x
_atom_site_fract_y
_atom_site_fract_z
Ho1 0.000 0.218 0.000
Al1 0.000 0.000 0.530
Co1 0.000 0.500 0.315
# **ρ**: 7.80 g cm⁻³
# **Formation energy**: -84 kJ/mol of formula units

***

Record 5
# PBE-GGA Ho2Al8Co, relaxed
data_Ho2Al8Co
_chemical_formula_sum 'Ho2 Al8 Co1'
_cell_length_a 4.210
_cell_length_b 4.210
_cell_length_c 11.100
_cell_angle_alpha 90.00
_cell_angle_beta 90.00
_cell_angle_gamma 90.00
_space_group_name_H-M_alt 'P 4/m m m'
_space_group_IT_number 123
_space_group_name_Hall '-P 4 2'
loop_
_atom_site_label
_atom_site_fract_x
_atom_site_fract_y
_atom_site_fract_z
Ho1 0.000 0.000 0.193
Al1 0.000 0.500 0.000
Al2 0.000 0.500 0.384
Al3 0.500 0.500 0.194
Co1 0.000 0.000 0.500
# **ρ**: 5.10 g cm⁻³
# **Formation energy**: -477 kJ/mol of formula units

***

Record 6
# PBE-GGA Ho3Al2Co, relaxed
data_Ho3Al2Co
_chemical_formula_sum 'Ho12 Al8 Co4'
_cell_length_a 11.936
_cell_length_b 4.437
_cell_length_c 10.334
_cell_angle_alpha 90.00
_cell_angle_beta 90.00
_cell_angle_gamma 90.00
_space_group_name_H-M_alt 'P n m a'
_space_group_IT_number 62
loop_
_space_group_symop_operation_xyz
'x,y,z'
'-x,-y,-z'
'-x+1/2,-y,z+1/2'
'x+1/2,y,-z+1/2'
'x+1/2,-y+1/2,-z+1/2'
'-x+1/2,y+1/2,z+1/2'
'-x,y+1/2,-z'
'x,-y+1/2,z'
loop_
_atom_site_label
_atom_site_fract_x
_atom_site_fract_y
_atom_site_fract_z
Ho1 0.055 0.250 0.113
Ho2 0.115 0.750 0.562
Ho3 0.239 0.250 0.790
Al1 0.013 0.750 0.300
Al2 0.206 0.750 0.987
Co1 0.112 0.250 0.368
# **ρ**: 7.38 g cm⁻³
# **Formation energy**: -191 kJ/mol of formula units

***

Record 7
# PBE-GGA Ho3Al5Co, relaxed
data_Ho3Al5Co
_chemical_formula_sum 'Ho3 Al5 Co1'
_cell_length_a 6.9252
_cell_length_b 6.9252
_cell_length_c 4.3138
_cell_angle_alpha 90.00
_cell_angle_beta 90.00
_cell_angle_gamma 120.00
_space_group_name_H-M_alt 'P -6 2 m'
_space_group_IT_number 189
_space_group_name_Hall 'P -6 -2'
loop_
_atom_site_label
_atom_site_fract_x
_atom_site_fract_y
_atom_site_fract_z
Ho1 0.0000 0.3997 0.0000
Al1 0.0000 0.7732 0.5000
Al2 0.3333 0.6667 0.5000
Co1 0.0000 0.0000 0.0000
# **ρ**: 6.38 g cm⁻³
# **Formation energy**: -442 kJ/mol of formula units

***

Record 8
# PBE-GGA Ho3Al9Co2, relaxed
data_Ho3Al9Co2
_chemical_formula_sum 'Ho6 Al18 Co4'
_cell_length_a 4.267
_cell_length_b 9.647
_cell_length_c 12.074
_cell_angle_alpha 90.00
_cell_angle_beta 90.00
_cell_angle_gamma 90.00
_space_group_name_H-M_alt 'I m m m'
_space_group_IT_number 71
_space_group_name_Hall '-I 2 2'
loop_
_atom_site_label
_atom_site_fract_x
_atom_site_fract_y
_atom_site_fract_z
Ho1 0.000 0.000 0.000
Ho2 0.000 0.000 0.301
Al1 0.000 0.284 0.126
Al2 0.000 0.360 0.352
Al3 0.000 0.500 0.000
Co1 0.000 0.177 0.500
# **ρ**: 5.72 g cm⁻³
# **Formation energy**: -644 kJ/mol of formula units

***

Record 9
# PBE-GGA HoAl2Co, relaxed
data_HoAl2Co
_chemical_formula_sum 'Ho1 Al2 Co1'
_cell_length_a 3.042
_cell_length_b 3.042
_cell_length_c 7.266
_cell_angle_alpha 90.00
_cell_angle_beta 90.00
_cell_angle_gamma 90.00
_space_group_name_H-M_alt 'P 4/m m m'
_space_group_IT_number 123
_space_group_name_Hall '-P 4 2'
loop_
_atom_site_label
_atom_site_fract_x
_atom_site_fract_y
_atom_site_fract_z
Ho1 0.000 0.000 0.000
Al1 0.500 0.500 0.316
Co1 0.000 0.000 0.500
# **ρ**: 6.86 g cm⁻³
# **Formation energy**: -147 kJ/mol of formula units

***

Record 10
# PBE-GGA Ho2AlCo3, relaxed
data_Ho2AlCo3
_chemical_formula_sum 'Ho4 Al2 Co6'
_cell_length_a 5.2657
_cell_length_b 5.2657
_cell_length_c 7.9222
_cell_angle_alpha 90.00
_cell_angle_beta 90.00
_cell_angle_gamma 120.00
_space_group_name_H-M_alt 'P 63/m m c'
_space_group_IT_number 194
_space_group_name_Hall '-P 6c 2c'
loop_
_atom_site_label
_atom_site_fract_x
_atom_site_fract_y
_atom_site_fract_z
Ho1 0.3333 0.6667 0.0628
Al1 0.0000 0.0000 0.0000
Co1 0.1732 0.3464 0.7500
# **ρ**: 9.32 g cm⁻³
# **Formation energy**: -194 kJ/mol of formula units

***

Record 11
# PBE-GGA Ho3AlCo8, relaxed
data_Ho3AlCo8
_chemical_formula_sum 'Ho9 Al3 Co24'
_cell_length_a 4.9626
_cell_length_b 4.9626
_cell_length_c 24.4286
_cell_angle_alpha 90.00
_cell_angle_beta 90.00
_cell_angle_gamma 120.00
_space_group_name_H-M_alt 'R 3 m'
_space_group_IT_number 160
_space_group_name_Hall 'R 3 -2"'
loop_
_atom_site_label
_atom_site_fract_x
_atom_site_fract_y
_atom_site_fract_z
Ho1 0.0000 0.0000 0.0000
Ho2 0.0000 0.0000 0.1274
Ho3 0.0000 0.0000 0.5077
Al1 0.0000 0.0000 0.6300
Co1 0.0000 0.0000 0.3146
Co2 0.0000 0.0000 0.8152
Co3 0.0024 0.5012 0.5679
Co4 0.1690 0.3380 0.3961
# **ρ**: 9.50 g cm⁻³
# **Formation energy**: -261 kJ/mol of formula units

***

Record 12
# PBE-GGA HoAlCo2, relaxed
data_HoAlCo2
_chemical_formula_sum 'Ho1 Al1 Co2'
_cell_length_a 4.290
_cell_length_b 4.290
_cell_length_c 3.226
_cell_angle_alpha 90.00
_cell_angle_beta 90.00
_cell_angle_gamma 90.00
_space_group_name_H-M_alt 'P 4/m m m'
_space_group_IT_number 123
_space_group_name_Hall '-P 4 2'
loop_
_atom_site_label
_atom_site_fract_x
_atom_site_fract_y
_atom_site_fract_z
Ho1 0.000 0.000 0.000
Al1 0.500 0.500 0.000
Co1 0.000 0.500 0.500
# **ρ**: 8.67 g cm⁻³
# **Formation energy**: -95 kJ/mol of formula units

***

Record 13
# PBE-GGA Ho4Al16Co3, relaxed
data_Ho4Al16Co3
_chemical_formula_sum 'Ho4 Al16 Co3'
_cell_length_a 6.008
_cell_length_b 6.008
_cell_length_c 11.149
_cell_angle_alpha 90.00
_cell_angle_beta 90.00
_cell_angle_gamma 90.00
_space_group_name_H-M_alt 'P 4/m m m'
_space_group_IT_number 123
_space_group_name_Hall '-P 4 2'
loop_
_atom_site_label
_atom_site_fract_x
_atom_site_fract_y
_atom_site_fract_z
Ho1 0.000 0.500 0.193
Al1 0.000 0.000 0.193
Al2 0.224 0.224 0.000
Al3 0.251 0.251 0.384
Al4 0.500 0.500 0.214
Co1 0.000 0.500 0.500
Co2 0.500 0.500 0.000
# **ρ**: 5.23 g cm⁻³
# **Formation energy**: -1077 kJ/mol of formula units

***

Record 14
# PBE-GGA HoAl9Co2, relaxed
data_HoAl9Co2
_chemical_formula_sum 'Ho4 Al36 Co8'
_cell_length_a 10.585
_cell_length_b 10.585
_cell_length_c 6.730
_cell_angle_alpha 90.00
_cell_angle_beta 90.00
_cell_angle_gamma 90.00
_space_group_name_H-M_alt 'I 41/a m d'
_space_group_IT_number 141
loop_
_space_group_symop_operation_xyz
'x,y,z'
'-x,-y,-z'
'-y+1/4,x+3/4,z+1/4'
'y+1/4,-x+3/4,-z+1/4'
'-x+1/2,-y,z+1/2'
'x+1/2,y,-z+1/2'
'y+1/4,-x+1/4,z+3/4'
'-y+1/4,x+1/4,-z+3/4'
'x,-y,-z'
'-x,y,z'
'-y+1/4,-x+1/4,-z+3/4'
'y+1/4,x+1/4,z+3/4'
'-x+1/2,y,-z+1/2'
'x+1/2,-y,z+1/2'
'y+1/4,x+3/4,-z+1/4'
'-y+1/4,-x+3/4,z+1/4'
'x+1/2,y+1/2,z+1/2'
'-x+1/2,-y+1/2,-z+1/2'
'-y+3/4,x+1/4,z+3/4'
'y+3/4,-x+1/4,-z+3/4'
'-x,-y+1/2,z'
'x,y+1/2,-z'
'y+3/4,-x+3/4,z+1/4'
'-y+3/4,x+3/4,-z+1/4'
'x+1/2,-y+1/2,-z+1/2'
'-x+1/2,y+1/2,z+1/2'
'-y+3/4,-x+3/4,-z+1/4'
'y+3/4,x+3/4,z+1/4'
'-x,y+1/2,-z'
'x,-y+1/2,z'
'y+3/4,x+1/4,-z+3/4'
'-y+3/4,-x+1/4,z+3/4'
loop_
_atom_site_label
_atom_site_fract_x
_atom_site_fract_y
_atom_site_fract_z
Ho1 0.000 0.250 0.375
Al1 0.000 0.250 0.875
Al2 0.122 0.054 0.688
Co1 0.000 0.000 0.000
# **ρ**: 4.63 g cm⁻³
# **Formation energy**: -410 kJ/mol of formula units

***

Record 15
# PBE-GGA Ho4AlCo, relaxed
data_Ho4AlCo
_chemical_formula_sum 'Ho64 Al16 Co16'
_cell_length_a 13.235
_cell_length_b 13.235
_cell_length_c 13.235
_cell_angle_alpha 90.00
_cell_angle_beta 90.00
_cell_angle_gamma 90.00
_space_group_name_H-M_alt 'F -4 3 m'
_space_group_IT_number 216
_space_group_name_Hall 'F -4 2 3'
loop_
_atom_site_label
_atom_site_fract_x
_atom_site_fract_y
_atom_site_fract_z
Ho1 0.000 0.000 0.188
Ho2 0.058 0.250 0.250
Ho3 0.099 0.099 0.599
Al1 0.173 0.173 0.827
Co1 0.109 0.109 0.391
# **ρ**: 8.55 g cm⁻³
# **Formation energy**: -168 kJ/mol of formula units

***

Record 16
# PBE-GGA Ho11Al9Co4, relaxed
data_Ho11Al9Co4
_chemical_formula_sum 'Ho22 Al18 Co8'
_cell_length_a 13.829
_cell_length_b 20.680
_cell_length_c 3.555
_cell_angle_alpha 90.00
_cell_angle_beta 90.00
_cell_angle_gamma 90.00
_space_group_name_H-M_alt 'C m m m'
_space_group_IT_number 65
_space_group_name_Hall '-C 2 2'
loop_
_atom_site_label
_atom_site_fract_x
_atom_site_fract_y
_atom_site_fract_z
Ho1 0.000 0.000 0.000
Ho2 0.000 0.165 0.000
Ho3 0.000 0.375 0.000
Ho4 0.188 0.500 0.000
Ho5 0.244 0.170 0.000
Al1 0.000 0.500 0.500
Al2 0.101 0.269 0.500
Al3 0.152 0.068 0.500
Co1 0.155 0.398 0.500
# **ρ**: 7.49 g cm⁻³
# **Formation energy**: -964 kJ/mol of formula units

***

Record 17
# PBE-GGA Ho3Al2Co7, relaxed
data_Ho3Al2Co7
_chemical_formula_sum 'Ho9 Al6 Co21'
_cell_length_a 5.1395
_cell_length_b 5.1395
_cell_length_c 23.3515
_cell_angle_alpha 90.00
_cell_angle_beta 90.00
_cell_angle_gamma 120.00
_space_group_name_H-M_alt 'R -3 m'
_space_group_IT_number 166
_space_group_name_Hall '-R 3 2"'
loop_
_atom_site_label
_atom_site_fract_x
_atom_site_fract_y
_atom_site_fract_z
Ho1 0.0000 0.0000 0.0000
Ho2 0.0000 0.0000 0.1401
Al1 0.0000 0.0000 0.3334
Co1 0.0000 0.0000 0.5000
Co2 0.0004 0.5002 0.0834
# **ρ**: 8.96 g cm⁻³
# **Formation energy**: -390 kJ/mol of formula units

***

Record 18
# PBE-GGA Ho6Al2Co, relaxed
data_Ho6Al2Co
_chemical_formula_sum 'Ho12 Al4 Co2'
_cell_length_a 5.870
_cell_length_b 8.426
_cell_length_c 10.881
_cell_angle_alpha 90.00
_cell_angle_beta 118.92
_cell_angle_gamma 90.00
_space_group_name_H-M_alt 'P 1 21/c 1'
_space_group_IT_number 14
loop_
_space_group_symop_operation_xyz
'x,y,z'
'-x,-y,-z'
'-x,y+1/2,-z+1/2'
'x,-y+1/2,z+1/2'
loop_
_atom_site_label
_atom_site_fract_x
_atom_site_fract_y
_atom_site_fract_z
Ho1 0.045 0.184 0.444
Ho2 0.339 0.671 0.442
Ho3 0.355 0.028 0.258
Al1 0.173 0.124 0.755
Co1 0.000 0.000 0.000
# **ρ**: 7.77 g cm⁻³
# **Formation energy**: -144 kJ/mol of formula units

***

Record 19
# PBE-GGA HoAl3Co, relaxed
data_HoAl3Co
_chemical_formula_sum 'Ho4 Al12 Co4'
_cell_length_a 8.158
_cell_length_b 4.014
_cell_length_c 10.634
_cell_angle_alpha 90.00
_cell_angle_beta 90.00
_cell_angle_gamma 90.00
_space_group_name_H-M_alt 'P n m a'
_space_group_IT_number 62
loop_
_space_group_symop_operation_xyz
'x,y,z'
'-x,-y,-z'
'-x+1/2,-y,z+1/2'
'x+1/2,y,-z+1/2'
'x+1/2,-y+1/2,-z+1/2'
'-x+1/2,y+1/2,z+1/2'
'-x,y+1/2,-z'
'x,-y+1/2,z'
loop_
_atom_site_label
_atom_site_fract_x
_atom_site_fract_y
_atom_site_fract_z
Ho1 0.191 0.250 0.009
Al1 0.049 0.250 0.582
Al2 0.107 0.750 0.780
Al3 0.151 0.750 0.224
Co1 0.119 0.250 0.358
# **ρ**: 5.81 g cm⁻³
# **Formation energy**: -260 kJ/mol of formula units